VASP calculation (PBE with a Hubbard U) on Mn2HgO6 after structural relaxation.

Cell: 6.2717 6.2717 2.8239 Å, 90.00 90.00 120.00°
Space group P-3 (No. 147)
One atom of each set of equivalent atoms:
1 Mn 0.3333 0.6667 0.2421 x2
2 Hg 0.0000 0.0000 0.5000 x1
3 O 0.1464 0.7242 0.7351 x6

density	7.016	g cm⁻³
size of the total moment	4.000	Bohr magnetons per cell
total energy	-5.421	eV per atom